[1]
This record from the Alexandria database describes Y12Er3Sc after structural relaxation. The functional is PBE-GGA.

Calculated formation energy = 32 meV/atom
Space group = No. 123

Cell and atoms, written as extended XYZ:
```
16
Lattice="5.011 0.000 0.000 0.000 5.011 0.000 0.000 0.000 20.023" Properties=species:S:1:pos:R:3 pbc="T T T"
Y 0.000 0.000 0.000
Y 0.000 0.000 4.957
Y 0.000 0.000 10.011
Y 0.000 0.000 15.065
Y 0.000 2.506 2.438
Y 0.000 2.506 7.485
Y 0.000 2.506 12.538
Y 0.000 2.506 17.585
Y 2.506 0.000 2.438
Y 2.506 0.000 7.485
Y 2.506 0.000 12.538
Y 2.506 0.000 17.585
Er 2.506 2.506 4.969
Er 2.506 2.506 10.011
Er 2.506 2.506 15.053
Sc 2.506 2.506 0.000
```

[2]
This record from the Alexandria database describes Y3Er8Sc2 after structural relaxation. The functional is PBE-GGA.

Calculated formation energy = 241 meV/atom
ΔE to the lowest computed polymorph = 0.00 eV per formula unit
Space group = No. 12

Cell and atoms, written as extended XYZ:
```
13
Lattice="7.282 -4.522 0.000 7.282 4.522 0.000 -2.200 0.000 6.278" Properties=species:S:1:pos:R:3 pbc="T T T"
Y 0.000 0.000 0.000
Y 6.182 2.961 3.139
Y 6.182 -2.961 3.139
Er 0.815 0.000 5.620
Er 3.740 1.639 5.089
Er 5.385 0.000 1.729
Er 8.623 1.639 1.190
Er 3.740 -1.639 5.089
Er 6.979 0.000 4.549
Er 8.623 -1.639 1.190
Er 11.548 0.000 0.658
Sc 2.077 0.000 2.651
Sc 10.287 0.000 3.627
```

[3]
This record from the Alexandria database describes Y3Er6Sc after structural relaxation. The functional is PBE-GGA.

Calculated formation energy = 267 meV/atom
ΔE to the lowest computed polymorph = 1.28 eV per formula unit
Space group = No. 146

Cell and atoms, written as extended XYZ:
```
10
Lattice="4.852 2.801 3.849 -4.852 2.801 3.849 0.000 -5.603 3.849" Properties=species:S:1:pos:R:3 pbc="T T T"
Y 0.000 0.000 0.000
Y 0.000 0.000 2.874
Y 0.000 0.000 5.871
Er -1.690 -2.758 4.025
Er -3.304 -0.082 5.934
Er -1.544 2.843 4.025
Er 1.723 -2.820 5.934
Er 3.234 -0.084 4.025
Er 1.581 2.902 5.934
Sc 0.000 0.000 8.687
```

[4]
This record from the Alexandria database describes YEr4Sc3 after structural relaxation. The functional is PBE-GGA.

Calculated formation energy = 54 meV/atom
ΔE to the lowest computed polymorph = 0.27 eV per formula unit
Space group = No. 2

Cell and atoms, written as extended XYZ:
```
8
Lattice="5.904 0.000 0.000 -1.985 5.592 0.000 -0.006 -0.013 6.870" Properties=species:S:1:pos:R:3 pbc="T T T"
Y 0.000 0.000 0.000
Er 2.952 -0.002 1.742
Er 0.961 5.581 5.128
Er 1.960 2.796 0.000
Er 1.957 2.790 3.435
Sc -0.003 -0.007 3.435
Sc -0.993 2.794 1.751
Sc 4.906 2.785 5.120
```

[5]
This record from the Alexandria database describes Y3Er7Sc after structural relaxation. The functional is PBE-GGA.

Calculated formation energy = 160 meV/atom
ΔE to the lowest computed polymorph = 0.00 eV per formula unit
Space group = No. 12

Cell and atoms, written as extended XYZ:
```
22
Lattice="3.455 -9.029 0.000 3.455 9.029 0.000 -0.024 0.000 11.003" Properties=species:S:1:pos:R:3 pbc="T T T"
Y 0.000 0.000 0.000
Y 3.433 4.529 8.248
Y 3.452 4.529 2.754
Y 3.443 0.000 5.501
Y 3.433 -4.529 8.248
Y 3.452 -4.529 2.754
Er 1.703 2.886 5.803
Er 1.723 2.887 10.694
Er 1.738 1.548 2.746
Er 1.689 0.000 8.248
Er 1.738 -1.548 2.746
Er 1.703 -2.886 5.803
Er 1.723 -2.887 10.694
Er 5.162 2.887 0.309
Er 5.182 2.886 5.200
Er 5.147 1.548 8.257
Er 5.196 0.000 2.754
Er 5.147 -1.548 8.257
Er 5.162 -2.887 0.309
Er 5.182 -2.886 5.200
Sc -0.012 0.000 5.501
Sc 3.455 0.000 0.000
```

[6]
This record from the Alexandria database describes YEr2Sc5 after structural relaxation. The functional is PBE-GGA.

Calculated formation energy = 20 meV/atom
ΔE to the lowest computed polymorph = 0.00 eV per formula unit
Space group = No. 42

Cell and atoms, written as extended XYZ:
```
8
Lattice="0.000 5.328 5.929 3.422 0.000 5.929 3.422 5.328 0.000" Properties=species:S:1:pos:R:3 pbc="T T T"
Y 0.000 0.000 0.000
Er 3.422 2.731 7.937
Er 3.422 7.926 7.937
Sc 5.112 5.328 3.009
Sc 1.711 2.664 4.930
Sc 3.422 5.328 5.902
Sc 1.731 5.328 3.009
Sc 5.132 7.992 10.859
```

[7]
This record from the Alexandria database describes Y12Er5Sc2 after structural relaxation. The functional is PBE-GGA.

Calculated formation energy = 120 meV/atom
ΔE to the lowest computed polymorph = 0.00 eV per formula unit
Space group = No. 2

Cell and atoms, written as extended XYZ:
```
19
Lattice="6.571 0.000 0.000 -1.349 8.809 0.000 -0.499 -3.530 10.306" Properties=species:S:1:pos:R:3 pbc="T T T"
Y -0.201 -0.286 4.248
Y -0.338 5.576 2.908
Y -0.334 7.682 0.582
Y 1.816 -2.198 8.695
Y 1.744 0.738 7.127
Y 2.231 1.372 2.401
Y 2.492 3.906 7.905
Y 2.978 4.540 3.180
Y 2.906 7.476 1.611
Y 5.056 -2.404 9.725
Y 5.061 -0.297 7.398
Y 4.924 5.564 6.058
Er -0.760 2.942 7.958
Er 0.951 4.110 0.131
Er 3.036 -1.765 5.153
Er 3.772 1.169 10.176
Er 5.483 2.337 2.348
Sc 0.704 3.118 5.067
Sc 4.018 2.161 5.239
```

[8]
This record from the Alexandria database describes Y5Er5Sc2 after structural relaxation. The functional is PBE-GGA.

Calculated formation energy = 43 meV/atom
ΔE to the lowest computed polymorph = 0.00 eV per formula unit
Space group = No. 2

Cell and atoms, written as extended XYZ:
```
12
Lattice="6.043 0.000 0.000 2.019 7.555 0.000 0.017 3.238 7.926" Properties=species:S:1:pos:R:3 pbc="T T T"
Y 0.000 0.000 0.000
Y 1.024 3.792 4.617
Y 3.039 8.057 5.976
Y 5.041 2.737 1.949
Y 7.055 7.002 3.308
Er 2.032 1.100 2.624
Er 3.033 4.878 7.268
Er 4.040 5.397 3.963
Er 5.046 5.915 0.657
Er 6.048 9.694 5.302
Sc 2.004 4.310 1.302
Sc 6.076 6.484 6.624
```

[9]
This record from the Alexandria database describes Y3ErSc3 after structural relaxation. The functional is PBE-GGA.

Calculated formation energy = 167 meV/atom
ΔE to the lowest computed polymorph = 0.98 eV per formula unit
Space group = No. 148

Cell and atoms, written as extended XYZ:
```
14
Lattice="2.979 1.720 13.660 -2.979 1.720 13.660 0.000 -3.440 13.660" Properties=species:S:1:pos:R:3 pbc="T T T"
Y -0.994 -1.721 17.627
Y -1.988 0.000 23.353
Y -0.994 1.721 17.627
Y 0.994 -1.721 23.353
Y 1.988 0.000 17.627
Y 0.994 1.721 23.353
Er 0.000 0.000 6.830
Er 0.000 0.000 34.149
Sc -1.981 0.002 14.921
Sc -0.992 -1.714 26.058
Sc 0.989 -1.716 14.921
Sc -0.989 1.716 26.058
Sc 0.992 1.714 14.921
Sc 1.981 -0.002 26.058
```

[10]
This record from the Alexandria database describes Y3Er5Sc after structural relaxation. The functional is PBE-GGA.

Calculated formation energy = 313 meV/atom
ΔE to the lowest computed polymorph = 1.19 eV per formula unit
Space group = No. 140

Cell and atoms, written as extended XYZ:
```
18
Lattice="-4.255 4.255 7.663 4.255 -4.255 7.663 4.255 4.255 -7.663" Properties=species:S:1:pos:R:3 pbc="T T T"
Y 5.268 1.013 0.000
Y 0.000 0.000 3.831
Y 1.013 3.243 0.000
Y 3.243 1.013 7.663
Y 0.000 0.000 11.494
Y -1.013 3.243 7.663
Er 0.000 0.000 0.000
Er 2.502 1.753 -2.169
Er 2.502 -1.753 5.494
Er 2.502 1.753 2.169
Er 2.502 -1.753 9.832
Er 0.000 0.000 7.663
Er 1.753 6.008 -2.169
Er 1.753 2.502 5.494
Er 1.753 6.008 2.169
Er 1.753 2.502 9.832
Sc 4.255 0.000 3.831
Sc 0.000 4.255 3.831
```

[11]
This record from the Alexandria database describes YEr2Sc7 after structural relaxation. The functional is PBE-GGA.

Calculated formation energy = 60 meV/atom
ΔE to the lowest computed polymorph = 0.00 eV per formula unit
Space group = No. 2

Cell and atoms, written as extended XYZ:
```
10
Lattice="5.764 0.000 0.000 -0.981 5.710 0.000 -2.860 -2.438 8.001" Properties=species:S:1:pos:R:3 pbc="T T T"
Y 0.000 0.000 0.000
Er 0.003 2.944 1.655
Er 1.920 0.328 6.346
Sc -1.921 1.636 4.001
Sc -0.933 -1.159 5.562
Sc -0.949 1.791 7.175
Sc 0.967 0.169 3.228
Sc 0.956 3.103 4.773
Sc 2.872 1.481 0.827
Sc 2.856 4.431 2.439
```

[12]
This record from the Alexandria database describes Y3Er5Sc after structural relaxation. The functional is PBE-GGA.

Calculated formation energy = 181 meV/atom
ΔE to the lowest computed polymorph = 0.00 eV per formula unit
Space group = No. 15

Cell and atoms, written as extended XYZ:
```
18
Lattice="7.717 -4.271 0.000 7.717 4.271 0.000 -6.732 0.000 8.573" Properties=species:S:1:pos:R:3 pbc="T T T"
Y 0.492 2.136 4.286
Y 2.707 1.061 0.046
Y -0.659 -1.061 4.332
Y 3.859 -2.136 0.000
Y 9.361 1.061 4.240
Y 5.995 -1.061 8.527
Er 3.893 2.879 3.247
Er 8.175 2.879 1.039
Er -0.286 0.456 7.415
Er 3.080 -0.456 3.129
Er 6.034 0.441 2.143
Er 2.668 -0.441 6.429
Er 5.622 0.456 5.444
Er 8.988 -0.456 1.158
Er 0.527 -2.879 7.534
Er 4.808 -2.879 5.325
Sc 2.668 3.021 6.429
Sc 6.034 -3.021 2.143
```

[13]
This record from the Alexandria database describes Y2Er8Sc after structural relaxation. The functional is PBE-GGA.

Calculated formation energy = 140 meV/atom
ΔE to the lowest computed polymorph = 0.00 eV per formula unit
Space group = No. 2

Cell and atoms, written as extended XYZ:
```
11
Lattice="6.214 0.000 0.000 -0.399 6.455 0.000 -0.891 -1.400 8.474" Properties=species:S:1:pos:R:3 pbc="T T T"
Y 0.552 1.415 4.173
Y 4.373 3.640 4.300
Er -0.243 5.457 1.880
Er -0.579 2.914 7.319
Er 1.319 4.667 5.081
Er 2.395 3.343 1.653
Er 2.529 1.712 6.821
Er 3.606 0.388 3.392
Er 5.503 2.142 1.155
Er 5.167 -0.402 6.593
Sc 3.107 0.000 0.000
```

[14]
This record from the Alexandria database describes Y6ErSc4 after structural relaxation. The functional is PBE-GGA.

Calculated formation energy = 316 meV/atom
Space group = No. 121

Cell and atoms, written as extended XYZ:
```
11
Lattice="-3.180 3.180 8.337 3.180 -3.180 8.337 3.180 3.180 -8.337" Properties=species:S:1:pos:R:3 pbc="T T T"
Y 3.180 0.000 0.000
Y 1.981 -1.981 5.354
Y 1.199 1.199 2.984
Y 0.000 3.180 0.000
Y -1.981 1.981 5.354
Y 1.981 1.981 11.321
Er 0.000 0.000 0.000
Sc 2.067 2.067 -2.107
Sc 1.113 -1.113 10.444
Sc 1.113 1.113 6.231
Sc -1.113 1.113 10.444
```

[15]
This record from the Alexandria database describes Y4Er2Sc5 after structural relaxation. The functional is PBE-GGA.

Calculated formation energy = 180 meV/atom
Space group = No. 10

Cell and atoms, written as extended XYZ:
```
11
Lattice="8.988 0.000 0.000 0.000 3.421 0.000 -1.520 0.000 10.372" Properties=species:S:1:pos:R:3 pbc="T T T"
Y 1.750 0.000 1.502
Y 1.507 0.000 6.895
Y 5.961 0.000 3.477
Y 5.718 0.000 8.870
Er 0.107 1.711 3.955
Er 7.361 1.711 6.418
Sc -0.306 1.711 9.232
Sc 3.123 1.711 3.912
Sc 4.494 1.711 0.000
Sc 4.345 1.711 6.461
Sc 7.774 1.711 1.141
```

[16]
This record from the Alexandria database describes Y3ErSc3 after structural relaxation. The functional is PBE-GGA.

Calculated formation energy = 27 meV/atom
ΔE to the lowest computed polymorph = 0.00 eV per formula unit
Space group = No. 176

Cell and atoms, written as extended XYZ:
```
14
Lattice="9.246 0.000 0.000 -4.623 8.007 0.000 0.000 0.000 5.458" Properties=species:S:1:pos:R:3 pbc="T T T"
Y -3.263 6.421 1.364
Y 0.694 1.970 1.364
Y 2.053 0.384 4.093
Y 2.569 7.623 1.364
Y 3.929 6.037 4.093
Y 7.886 1.586 4.093
Er 0.000 5.338 1.364
Er 4.623 2.669 4.093
Sc -1.944 4.910 4.093
Sc 1.343 3.869 4.093
Sc 4.022 0.771 1.364
Sc 0.601 7.236 4.093
Sc 3.280 4.138 1.364
Sc 6.567 3.097 1.364
```

[17]
This record from the Alexandria database describes Y8Er6Sc after structural relaxation. The functional is PBE-GGA.

Calculated formation energy = 189 meV/atom
ΔE to the lowest computed polymorph = 0.64 eV per formula unit
Space group = No. 148

Cell and atoms, written as extended XYZ:
```
15
Lattice="4.841 2.795 5.815 -4.841 2.795 5.815 0.000 -5.590 5.815" Properties=species:S:1:pos:R:3 pbc="T T T"
Y 0.000 0.000 1.592
Y -0.578 -2.004 5.728
Y -1.446 1.502 5.728
Y -2.024 -0.502 11.718
Y 2.024 0.502 5.728
Y 1.446 -1.502 11.718
Y 0.578 2.004 11.718
Y 0.000 0.000 15.854
Er -2.129 -2.494 8.532
Er -3.224 0.597 8.914
Er 1.095 -3.091 8.914
Er -1.095 3.091 8.532
Er 3.224 -0.597 8.532
Er 2.129 2.494 8.914
Sc 0.000 0.000 8.723
```

[18]
This record from the Alexandria database describes Y2ErSc8 after structural relaxation. The functional is PBE-GGA.

Calculated formation energy = 138 meV/atom
Space group = No. 12

Cell and atoms, written as extended XYZ:
```
11
Lattice="4.357 -8.010 0.000 4.357 8.010 0.000 -3.464 0.000 4.275" Properties=species:S:1:pos:R:3 pbc="T T T"
Y 4.357 4.952 0.000
Y 4.357 -4.952 0.000
Er 2.625 0.000 2.138
Sc -0.822 0.000 1.045
Sc -0.288 2.029 3.322
Sc 2.625 3.234 2.138
Sc -0.288 -2.029 3.322
Sc 5.538 2.029 0.953
Sc 2.625 -3.234 2.138
Sc 5.538 -2.029 0.953
Sc 6.072 0.000 3.230
```

[19]
This record from the Alexandria database describes Y8ErSc4 after structural relaxation. The functional is PBE-GGA.

Calculated formation energy = 266 meV/atom
Space group = No. 166

Cell and atoms, written as extended XYZ:
```
13
Lattice="3.508 2.025 9.249 -3.508 2.025 9.249 0.000 -4.051 9.249" Properties=species:S:1:pos:R:3 pbc="T T T"
Y 0.000 0.000 5.880
Y -1.875 -1.083 15.908
Y 0.000 -2.165 11.839
Y -1.875 1.083 11.839
Y 1.875 -1.082 15.908
Y 0.000 2.165 15.908
Y 1.875 1.083 11.839
Y 0.000 0.000 21.867
Er 0.000 0.000 13.873
Sc 0.000 0.000 0.000
Sc -1.754 -1.013 9.249
Sc -1.754 1.013 18.498
Sc 0.000 2.025 9.249
```